Entry from the Alexandria database: a relaxed LaMo2AsW crystal (PBEsol).

final energy: -34.34 eV for the cell shown
space group: P4/mmm
formation energy: 13.45 eV/f.u.
mass density: 8883 kg/m³
Fermi-level density of states: 6.0 states/eV/f.u.

Structure (CIF):
```
data_LaMo2AsW
_chemical_formula_sum 'La1 Mo2 As1 W1'
_cell_length_a 4.643
_cell_length_b 4.643
_cell_length_c 5.113
_cell_angle_alpha 90.00
_cell_angle_beta 90.00
_cell_angle_gamma 90.00
_space_group_name_H-M_alt 'P 1'
_space_group_IT_number 1
_space_group_name_Hall 'P 1'
loop_
_atom_site_label
_atom_site_type_symbol
_atom_site_fract_x
_atom_site_fract_y
_atom_site_fract_z
_atom_site_occupancy
Mo1 Mo 0.000 0.500 0.000 1
Mo2 Mo 0.500 0.000 0.000 1
As1 As 0.000 0.000 0.500 1
W1 W 0.500 0.500 0.500 1
La1 La 0.000 0.000 0.000 1
```